8
Lattice="3.855 0.000 0.000 0.000 6.164 0.000 0.000 0.000 5.946" Properties=species:S:1:pos:R:3 comment="CoSnPO | OQMD via LeMat-Bulk | GGA+U | relaxed" space_group="Pmc2_1, No. 26" energy_ev_per_atom=-5.155 crystal_system=orthorhombic pbc="T T T"
Co 0.000 1.353 0.000
Co 0.000 4.811 2.973
Sn 1.928 1.989 3.288
Sn 1.928 4.175 0.315
P 0.000 0.809 2.198
P 0.000 5.355 5.171
O 1.928 2.223 5.417
O 1.928 3.942 2.444